Entry 1:
The following is a DFT calculation (PBE-GGA) of a relaxed structure of Li2CaTl2Hg5.

abc: 10.440 10.440 4.470
angles: 90.00 90.00 90.00
Space group P4/mbm (No. 127)
One atom of each set of equivalent atoms:
Li: 0.119 0.381 0.000 x4
Ca: 0.000 0.000 0.000 x2
Tl: 0.175 0.675 0.000 x4
Hg: 0.000 0.500 0.500 x2
Hg: 0.079 0.205 0.500 x8

Results
- calculated density (g/cm3) = 9.992


Entry 2:
The following is a DFT calculation (PBE-GGA) of a relaxed structure of LiCaTlHg.

abc: 7.309 7.309 7.309
angles: 90.00 90.00 90.00
Space group F-43m (No. 216)
One atom of each set of equivalent atoms:
Li: 0.000 0.000 0.000 x4
Ca: 0.000 0.000 0.500 x4
Tl: 0.250 0.250 0.750 x4
Hg: 0.250 0.250 0.250 x4

Results
- calculated density (g/cm3) = 7.688


Entry 3:
The following is a DFT calculation (PBE-GGA) of a relaxed structure of LiCa2HgW.

abc: 5.786 5.786 5.281
angles: 90.00 90.00 90.00
Space group P4/mmm (No. 123)
One atom of each set of equivalent atoms:
Li: 0.000 0.000 0.000 x1
Ca: 0.000 0.500 0.500 x2
Hg: 0.500 0.500 0.500 x1
W: 0.500 0.500 0.000 x1

Results
- calculated density (g/cm3) = 4.429


Entry 4:
The following is a DFT calculation (PBE-GGA) of a relaxed structure of LiCaY2Hg4.

abc: 5.1709 5.1709 25.4604
angles: 90.00 90.00 120.00
Space group R-3m (No. 166, hexagonal axes)
One atom of each set of equivalent atoms:
Li: 0.0000 0.0000 0.0000 x3
Ca: 0.0000 0.0000 0.5000 x3
Y: 0.0000 0.0000 0.2532 x6
Hg: 0.0000 0.0000 0.1209 x6
Hg: 0.0000 0.0000 0.3738 x6

Results
- calculated density (g/cm3) = 8.679


Entry 5:
The following is a DFT calculation (PBE-GGA) of a relaxed structure of Li2CaYHg4.

abc: 5.0630 5.0630 24.9576
angles: 90.00 90.00 120.00
Space group R-3m (No. 166, hexagonal axes)
One atom of each set of equivalent atoms:
Li: 0.0000 0.0000 0.2491 x6
Ca: 0.0000 0.0000 0.0000 x3
Y: 0.0000 0.0000 0.5000 x3
Hg: 0.0000 0.0000 0.1264 x6
Hg: 0.0000 0.0000 0.3776 x6

Results
- calculated density (g/cm3) = 8.499


Entry 6:
The following is a DFT calculation (PBE-GGA) of a relaxed structure of LiCa2ZnHg2.

abc: 6.216 15.294 6.234
angles: 90.00 90.00 90.00
Space group Ibam (No. 72)
One atom of each set of equivalent atoms:
Li: 0.000 0.000 0.250 x4
Ca: 0.247 0.330 0.000 x8
Zn: 0.000 0.500 0.250 x4
Hg: 0.249 0.117 0.000 x8

Results
- calculated density (g/cm3) = 6.205


Formation enthalpy at 0 K readings, ordered: -0.26 -0.35 0.94 -0.48 -0.43 -0.38 eV per atom
E_tot readings, ordered: -1.465 -1.998 -2.896 -2.733 -2.121 -1.682 eV/atom